[1]
Material: Nd3BiTeBr
Method: DFT, PBE
State: optimized geometry

Cell and atoms, written as CIF:
```
data_Nd3BiTeBr
_cell_length_a 9.079
_cell_length_b 4.450
_cell_length_c 10.106
_cell_angle_alpha 90.00
_cell_angle_beta 102.69
_cell_angle_gamma 90.00
_symmetry_space_group_name_H-M 'P 1 21/m 1'
_symmetry_Int_Tables_number 11
_symmetry_space_group_name_Hall '-P 2yb'
loop_
_atom_site_label
_atom_site_type_symbol
_atom_site_fract_x
_atom_site_fract_y
_atom_site_fract_z
Nd1 Nd 0.092 0.250 0.342
Nd2 Nd 0.185 0.250 0.990
Nd3 Nd 0.406 0.750 0.628
Bi1 Bi 0.324 0.750 0.278
Te1 Te 0.157 0.250 0.657
Br1 Br 0.376 0.750 0.918
```

E   -59.13 eV for the cell shown
Crystal system   monoclinic

=====

[2]
Material: NiBi3Br
Method: DFT, PBE
State: optimized geometry

Cell and atoms, written as CIF:
```
data_NiBi3Br
_cell_length_a 5.250
_cell_length_b 5.250
_cell_length_c 5.250
_cell_angle_alpha 90.00
_cell_angle_beta 90.00
_cell_angle_gamma 90.00
_symmetry_space_group_name_H-M 'P m -3 m'
_symmetry_Int_Tables_number 221
_symmetry_space_group_name_Hall '-P 4 2 3'
loop_
_atom_site_label
_atom_site_type_symbol
_atom_site_fract_x
_atom_site_fract_y
_atom_site_fract_z
Ni1 Ni 0.000 0.000 0.000
Bi1 Bi 0.000 0.000 0.500
Br1 Br 0.500 0.500 0.500
```

E   -17.82 eV for the cell shown
Energy above the most stable polymorph in this dataset   0.0 kJ/mol of atoms
Crystal system   cubic

=====

[3]
Material: NiBi2Br
Method: DFT, PBE
State: optimized geometry

Cell and atoms, written as CIF:
```
data_NiBi2Br
_cell_length_a 4.1166
_cell_length_b 4.1166
_cell_length_c 22.2510
_cell_angle_alpha 90.00
_cell_angle_beta 90.00
_cell_angle_gamma 120.00
_symmetry_space_group_name_H-M 'R 3 m'
_symmetry_Int_Tables_number 160
_symmetry_space_group_name_Hall 'R 3 -2"'
loop_
_atom_site_label
_atom_site_type_symbol
_atom_site_fract_x
_atom_site_fract_y
_atom_site_fract_z
Ni1 Ni 0.0000 0.0000 0.0000
Bi1 Bi 0.0000 0.0000 0.3888
Bi2 Bi 0.0000 0.0000 0.6102
Br1 Br 0.0000 0.0000 0.1679
```

E   -47.54 eV for the cell shown
Energy above the most stable polymorph in this dataset   1.7 kJ/mol of atoms
Crystal system   trigonal

=====

[4]
Material: NiBi2Br
Method: DFT, PBE
State: optimized geometry

Cell and atoms, written as CIF:
```
data_NiBi2Br
_cell_length_a 4.0713
_cell_length_b 4.0713
_cell_length_c 22.3810
_cell_angle_alpha 90.00
_cell_angle_beta 90.00
_cell_angle_gamma 120.00
_symmetry_space_group_name_H-M 'R -3 m'
_symmetry_Int_Tables_number 166
_symmetry_space_group_name_Hall '-R 3 2"'
loop_
_atom_site_label
_atom_site_type_symbol
_atom_site_fract_x
_atom_site_fract_y
_atom_site_fract_z
Ni1 Ni 0.0000 0.0000 0.0000
Bi1 Bi 0.0000 0.0000 0.2762
Br1 Br 0.0000 0.0000 0.5000
```

E   -47.75 eV for the cell shown
Energy above the most stable polymorph in this dataset   0.0 kJ/mol of atoms
Crystal system   trigonal

=====

[5]
Material: NiBi2Br2
Method: DFT, PBE
State: optimized geometry

Cell and atoms, written as CIF:
```
data_NiBi2Br2
_cell_length_a 6.702
_cell_length_b 6.702
_cell_length_c 6.175
_cell_angle_alpha 90.00
_cell_angle_beta 90.00
_cell_angle_gamma 90.00
_symmetry_space_group_name_H-M 'P 4/m b m'
_symmetry_Int_Tables_number 127
_symmetry_space_group_name_Hall '-P 4 2ab'
loop_
_atom_site_label
_atom_site_type_symbol
_atom_site_fract_x
_atom_site_fract_y
_atom_site_fract_z
Ni1 Ni 0.000 0.000 0.000
Bi1 Bi 0.223 0.277 0.500
Br1 Br 0.195 0.305 0.000
```

E   -33.25 eV for the cell shown
Crystal system   tetragonal

=====

[6]
Material: NiBi2Br
Method: DFT, PBE
State: optimized geometry

Cell and atoms, written as CIF:
```
data_NiBi2Br
_cell_length_a 7.252
_cell_length_b 7.252
_cell_length_c 7.252
_cell_angle_alpha 90.00
_cell_angle_beta 90.00
_cell_angle_gamma 90.00
_symmetry_space_group_name_H-M 'F m -3 m'
_symmetry_Int_Tables_number 225
_symmetry_space_group_name_Hall '-F 4 2 3'
loop_
_atom_site_label
_atom_site_type_symbol
_atom_site_fract_x
_atom_site_fract_y
_atom_site_fract_z
Ni1 Ni 0.000 0.000 0.000
Bi1 Bi 0.250 0.250 0.250
Br1 Br 0.000 0.000 0.500
```

E   -54.72 eV for the cell shown
Energy above the most stable polymorph in this dataset   54.0 kJ/mol of atoms
Crystal system   cubic

=====

[7]
Material: NiBi2Br
Method: DFT, PBE
State: optimized geometry

Cell and atoms, written as CIF:
```
data_NiBi2Br
_cell_length_a 6.681
_cell_length_b 6.681
_cell_length_c 11.898
_cell_angle_alpha 90.00
_cell_angle_beta 90.00
_cell_angle_gamma 90.00
_symmetry_space_group_name_H-M 'I -4 2 d'
_symmetry_Int_Tables_number 122
_symmetry_space_group_name_Hall 'I -4 2bw'
loop_
_atom_site_label
_atom_site_type_symbol
_atom_site_fract_x
_atom_site_fract_y
_atom_site_fract_z
Ni1 Ni 0.000 0.000 0.000
Bi1 Bi 0.162 0.250 0.125
Br1 Br 0.000 0.000 0.500
```

E   -58.77 eV for the cell shown
Energy above the most stable polymorph in this dataset   29.5 kJ/mol of atoms
Crystal system   tetragonal

=====

[8]
Material: NiBi3Br
Method: DFT, PBE
State: optimized geometry

Cell and atoms, written as CIF:
```
data_NiBi3Br
_cell_length_a 5.616
_cell_length_b 5.616
_cell_length_c 5.616
_cell_angle_alpha 90.00
_cell_angle_beta 90.00
_cell_angle_gamma 90.00
_symmetry_space_group_name_H-M 'P m -3 m'
_symmetry_Int_Tables_number 221
_symmetry_space_group_name_Hall '-P 4 2 3'
loop_
_atom_site_label
_atom_site_type_symbol
_atom_site_fract_x
_atom_site_fract_y
_atom_site_fract_z
Ni1 Ni 0.000 0.000 0.000
Bi1 Bi 0.000 0.500 0.500
Br1 Br 0.500 0.500 0.500
```

E   -12.57 eV for the cell shown
Energy above the most stable polymorph in this dataset   101.2 kJ/mol of atoms
Crystal system   cubic

=====

[9]
Material: Rb2NiBiBr
Method: DFT, PBE
State: optimized geometry

Cell and atoms, written as CIF:
```
data_Rb2NiBiBr
_cell_length_a 6.839
_cell_length_b 6.839
_cell_length_c 4.352
_cell_angle_alpha 90.00
_cell_angle_beta 90.00
_cell_angle_gamma 90.00
_symmetry_space_group_name_H-M 'P 4/m m m'
_symmetry_Int_Tables_number 123
_symmetry_space_group_name_Hall '-P 4 2'
loop_
_atom_site_label
_atom_site_type_symbol
_atom_site_fract_x
_atom_site_fract_y
_atom_site_fract_z
Rb1 Rb 0.000 0.500 0.000
Ni1 Ni 0.000 0.000 0.500
Bi1 Bi 0.500 0.500 0.500
Br1 Br 0.000 0.000 0.000
```

E   -13.76 eV for the cell shown
Crystal system   tetragonal

=====

[10]
Material: NiBiSeBr2
Method: DFT, PBE
State: optimized geometry

Cell and atoms, written as CIF:
```
data_NiBiSeBr2
_cell_length_a 5.623
_cell_length_b 5.623
_cell_length_c 5.580
_cell_angle_alpha 90.00
_cell_angle_beta 90.00
_cell_angle_gamma 90.00
_symmetry_space_group_name_H-M 'P 4/m m m'
_symmetry_Int_Tables_number 123
_symmetry_space_group_name_Hall '-P 4 2'
loop_
_atom_site_label
_atom_site_type_symbol
_atom_site_fract_x
_atom_site_fract_y
_atom_site_fract_z
Ni1 Ni 0.000 0.000 0.000
Bi1 Bi 0.500 0.500 0.500
Se1 Se 0.500 0.500 0.000
Br1 Br 0.000 0.500 0.500
```

E   -13.55 eV for the cell shown
Energy above the most stable polymorph in this dataset   59.5 kJ/mol of atoms
Crystal system   tetragonal

=====

[11]
Material: NiBiSeBr2
Method: DFT, PBE
State: optimized geometry

Cell and atoms, written as CIF:
```
data_NiBiSeBr2
_cell_length_a 4.811
_cell_length_b 4.811
_cell_length_c 5.017
_cell_angle_alpha 90.00
_cell_angle_beta 90.00
_cell_angle_gamma 90.00
_symmetry_space_group_name_H-M 'P 4/m m m'
_symmetry_Int_Tables_number 123
_symmetry_space_group_name_Hall '-P 4 2'
loop_
_atom_site_label
_atom_site_type_symbol
_atom_site_fract_x
_atom_site_fract_y
_atom_site_fract_z
Ni1 Ni 0.000 0.000 0.000
Bi1 Bi 0.500 0.500 0.500
Se1 Se 0.000 0.000 0.500
Br1 Br 0.000 0.500 0.000
```

E   -16.64 eV for the cell shown
Energy above the most stable polymorph in this dataset   0.0 kJ/mol of atoms
Crystal system   tetragonal

=====

[12]
Material: NiBi2TeBr
Method: DFT, PBE
State: optimized geometry

Cell and atoms, written as CIF:
```
data_NiBi2TeBr
_cell_length_a 5.316
_cell_length_b 5.316
_cell_length_c 4.755
_cell_angle_alpha 90.00
_cell_angle_beta 90.00
_cell_angle_gamma 90.00
_symmetry_space_group_name_H-M 'P 4/m m m'
_symmetry_Int_Tables_number 123
_symmetry_space_group_name_Hall '-P 4 2'
loop_
_atom_site_label
_atom_site_type_symbol
_atom_site_fract_x
_atom_site_fract_y
_atom_site_fract_z
Ni1 Ni 0.000 0.000 0.000
Bi1 Bi 0.000 0.500 0.000
Te1 Te 0.500 0.500 0.500
Br1 Br 0.000 0.000 0.500
```

E   -17.90 eV for the cell shown
Crystal system   tetragonal

=====

[13]
Material: NpBiBr
Method: DFT, PBE
State: optimized geometry

Cell and atoms, written as CIF:
```
data_NpBiBr
_cell_length_a 3.457
_cell_length_b 6.968
_cell_length_c 8.550
_cell_angle_alpha 112.35
_cell_angle_beta 92.57
_cell_angle_gamma 104.30
_symmetry_space_group_name_H-M 'P -1'
_symmetry_Int_Tables_number 2
_symmetry_space_group_name_Hall '-P 1'
loop_
_atom_site_label
_atom_site_type_symbol
_atom_site_fract_x
_atom_site_fract_y
_atom_site_fract_z
Np1 Np 0.181 0.367 0.472
Bi1 Bi 0.419 0.880 0.310
Br1 Br 0.370 0.670 0.826
```

E   -39.21 eV for the cell shown
Crystal system   triclinic

=====

[14]
Material: NpBiBr6
Method: DFT, PBE
State: optimized geometry

Cell and atoms, written as CIF:
```
data_NpBiBr6
_cell_length_a 7.190
_cell_length_b 13.017
_cell_length_c 7.186
_cell_angle_alpha 90.00
_cell_angle_beta 106.84
_cell_angle_gamma 90.00
_symmetry_space_group_name_H-M 'C 1 2/m 1'
_symmetry_Int_Tables_number 12
_symmetry_space_group_name_Hall '-C 2y'
loop_
_atom_site_label
_atom_site_type_symbol
_atom_site_fract_x
_atom_site_fract_y
_atom_site_fract_z
Np1 Np 0.000 0.000 0.000
Bi1 Bi 0.000 0.500 0.500
Br1 Br 0.244 0.000 0.749
Br2 Br 0.247 0.350 0.751
```

E   -69.65 eV for the cell shown
Energy above the most stable polymorph in this dataset   0.0 kJ/mol of atoms
Crystal system   monoclinic

=====

[15]
Material: NpBiBr6
Method: DFT, PBE
State: optimized geometry

Cell and atoms, written as CIF:
```
data_NpBiBr6
_cell_length_a 7.1463
_cell_length_b 7.1463
_cell_length_c 19.9292
_cell_angle_alpha 90.00
_cell_angle_beta 90.00
_cell_angle_gamma 120.00
_symmetry_space_group_name_H-M 'R -3'
_symmetry_Int_Tables_number 148
_symmetry_space_group_name_Hall '-R 3'
loop_
_atom_site_label
_atom_site_type_symbol
_atom_site_fract_x
_atom_site_fract_y
_atom_site_fract_z
Np1 Np 0.0000 0.0000 0.0000
Bi1 Bi 0.0000 0.0000 0.5000
Br1 Br 0.0003 0.3299 0.0837
```

E   -104.24 eV for the cell shown
Energy above the most stable polymorph in this dataset   0.9 kJ/mol of atoms
Crystal system   trigonal

=====

[16]
Material: NpBi3Br2O6
Method: DFT, PBE
State: optimized geometry

Cell and atoms, written as CIF:
```
data_NpBi3Br2O6
_cell_length_a 12.787
_cell_length_b 6.404
_cell_length_c 5.995
_cell_angle_alpha 90.00
_cell_angle_beta 102.85
_cell_angle_gamma 90.00
_symmetry_space_group_name_H-M 'C 1 2/m 1'
_symmetry_Int_Tables_number 12
_symmetry_space_group_name_Hall '-C 2y'
loop_
_atom_site_label
_atom_site_type_symbol
_atom_site_fract_x
_atom_site_fract_y
_atom_site_fract_z
Np1 Np 0.000 0.000 0.000
Bi1 Bi 0.000 0.500 0.500
Bi2 Bi 0.250 0.250 0.000
Br1 Br 0.202 0.500 0.383
O1 O 0.063 0.240 0.804
O2 O 0.147 0.000 0.187
```

E   -148.74 eV for the cell shown
Crystal system   monoclinic

=====

[17]
Material: BiBrO2
Method: DFT, PBE
State: optimized geometry

Cell and atoms, written as CIF:
```
data_BiBrO2
_cell_length_a 3.5478
_cell_length_b 3.5478
_cell_length_c 19.9924
_cell_angle_alpha 90.00
_cell_angle_beta 90.00
_cell_angle_gamma 120.00
_symmetry_space_group_name_H-M 'R -3 m'
_symmetry_Int_Tables_number 166
_symmetry_space_group_name_Hall '-R 3 2"'
loop_
_atom_site_label
_atom_site_type_symbol
_atom_site_fract_x
_atom_site_fract_y
_atom_site_fract_z
Bi1 Bi 0.0000 0.0000 0.0000
Br1 Br 0.0000 0.0000 0.5000
O1 O 0.0000 0.0000 0.1180
```

E   -41.51 eV for the cell shown
Energy above the most stable polymorph in this dataset   100.8 kJ/mol of atoms
Crystal system   trigonal

=====

[18]
Material: Bi2BrO2
Method: DFT, PBE
State: optimized geometry

Cell and atoms, written as CIF:
```
data_Bi2BrO2
_cell_length_a 4.703
_cell_length_b 4.703
_cell_length_c 10.554
_cell_angle_alpha 90.00
_cell_angle_beta 90.00
_cell_angle_gamma 90.00
_symmetry_space_group_name_H-M 'I 4/m m m'
_symmetry_Int_Tables_number 139
_symmetry_space_group_name_Hall '-I 4 2'
loop_
_atom_site_label
_atom_site_type_symbol
_atom_site_fract_x
_atom_site_fract_y
_atom_site_fract_z
Bi1 Bi 0.000 0.500 0.250
Br1 Br 0.000 0.000 0.000
O1 O 0.000 0.000 0.308
```

E   -44.27 eV for the cell shown
Energy above the most stable polymorph in this dataset   38.4 kJ/mol of atoms
Crystal system   tetragonal

=====

[19]
Material: Bi2Br3O
Method: DFT, PBE
State: optimized geometry

Cell and atoms, written as CIF:
```
data_Bi2Br3O
_cell_length_a 17.949
_cell_length_b 3.944
_cell_length_c 11.940
_cell_angle_alpha 90.00
_cell_angle_beta 120.29
_cell_angle_gamma 90.00
_symmetry_space_group_name_H-M 'C 1 2/m 1'
_symmetry_Int_Tables_number 12
_symmetry_space_group_name_Hall '-C 2y'
loop_
_atom_site_label
_atom_site_type_symbol
_atom_site_fract_x
_atom_site_fract_y
_atom_site_fract_z
Bi1 Bi 0.077 0.000 0.472
Bi2 Bi 0.136 0.500 0.802
Br1 Br 0.037 0.500 0.244
Br2 Br 0.162 0.000 0.015
Br3 Br 0.222 0.500 0.628
O1 O 0.086 0.000 0.679
```

E   -88.12 eV for the cell shown
Crystal system   monoclinic

=====

[20]
Material: BiBrO
Method: DFT, PBE
State: optimized geometry

Cell and atoms, written as CIF:
```
data_BiBrO
_cell_length_a 3.8216
_cell_length_b 3.8216
_cell_length_c 6.2424
_cell_angle_alpha 90.00
_cell_angle_beta 90.00
_cell_angle_gamma 120.00
_symmetry_space_group_name_H-M 'P 3 m 1'
_symmetry_Int_Tables_number 156
_symmetry_space_group_name_Hall 'P 3 -2"'
loop_
_atom_site_label
_atom_site_type_symbol
_atom_site_fract_x
_atom_site_fract_y
_atom_site_fract_z
Bi1 Bi 0.0000 0.0000 0.0000
Br1 Br 0.6667 0.3333 0.3366
O1 O 0.3333 0.6667 0.8866
```

E   -13.18 eV for the cell shown
Energy above the most stable polymorph in this dataset   23.6 kJ/mol of atoms
Crystal system   trigonal